This record from Alexandria describes a relaxed PuAgSeO6 crystal. The functional is GGA-PBE.

a = 5.4531 Å, b = 5.4531 Å, c = 10.0353 Å
α = 90.00°, β = 90.00°, γ = 120.00°
Last column: nearest neighbours and their distance in Å.
Positions (direct):
O (0.0017, 0.3663, 0.6434)  1 Se 2.03, 1 Pu 2.05
O (0.0017, 0.6354, 0.8566)  1 Se 2.03, 1 Pu 2.05
O (0.6337, 0.6354, 0.6434)  1 Se 2.03, 1 Pu 2.05
O (0.6337, 0.9983, 0.8566)  1 Se 2.03, 1 Pu 2.05
O (0.6354, 0.6337, 0.1434)  1 Se 2.03, 1 Pu 2.05
O (0.3646, 0.3663, 0.8566)  1 Se 2.03, 1 Pu 2.05
O (0.6354, 0.0017, 0.3566)  1 Se 2.03, 1 Pu 2.05
O (0.9983, 0.6337, 0.3566)  1 Se 2.03, 1 Pu 2.05
O (0.3663, 0.3646, 0.3566)  1 Se 2.03, 1 Pu 2.05
O (0.3663, 0.0017, 0.1434)  1 Se 2.03, 1 Pu 2.05
O (0.3646, 0.9983, 0.6434)  1 Se 2.03, 1 Pu 2.05
O (0.9983, 0.3646, 0.1434)  1 Se 2.03, 1 Pu 2.05
Se (0.6667, 0.3333, 0.2500)  6 O 2.03
Se (0.3333, 0.6667, 0.7500)  6 O 2.03
Ag (0.0000, 0.0000, 0.0000)  6 O 2.46
Ag (0.0000, 0.0000, 0.5000)  6 O 2.46
Pu (0.6667, 0.3333, 0.7500)  6 O 2.05
Pu (0.3333, 0.6667, 0.2500)  6 O 2.05

Formation energy (no corrections) = -1231 meV/atom
Symmetry = P-31c
V = 258 Å³/cell

=====

This record from Alexandria describes a relaxed LaPu3Pd12 crystal. The functional is GGA-PBE.

a = 4.1654 Å, b = 4.1654 Å, c = 16.7119 Å
α = 90.00°, β = 90.00°, γ = 90.00°
Last column: nearest neighbours and their distance in Å.
Positions (direct):
Pd (0.0000, 0.5000, 0.6243)  8 Pd 2.93-2.95, 4 Pu 2.94
Pd (0.5000, 0.0000, 0.3757)  8 Pd 2.93-2.95, 4 Pu 2.94
Pd (0.5000, 0.5000, 0.7480)  8 Pd 2.92-2.93, 4 Pu 2.95
Pd (0.5000, 0.0000, 0.6243)  8 Pd 2.93-2.95, 4 Pu 2.94
Pd (0.5000, 0.5000, 0.0000)  4 La 2.95, 8 Pd 3.00
Pd (0.0000, 0.5000, 0.1295)  2 Pu 2.92, 8 Pd 2.92-3.00, 2 La 3.00
Pd (0.0000, 0.5000, 0.3757)  8 Pd 2.93-2.95, 4 Pu 2.94
Pd (0.5000, 0.5000, 0.2520)  8 Pd 2.92-2.93, 4 Pu 2.95
Pd (0.5000, 0.0000, 0.8705)  2 Pu 2.92, 8 Pd 2.92-3.00, 2 La 3.00
Pd (0.5000, 0.5000, 0.5000)  8 Pd 2.94, 4 Pu 2.95
Pd (0.5000, 0.0000, 0.1295)  2 Pu 2.92, 8 Pd 2.92-3.00, 2 La 3.00
Pd (0.0000, 0.5000, 0.8705)  2 Pu 2.92, 8 Pd 2.92-3.00, 2 La 3.00
Pu (0.0000, 0.0000, 0.2518)  12 Pd 2.92-2.95
Pu (0.0000, 0.0000, 0.5000)  12 Pd 2.94-2.95
Pu (0.0000, 0.0000, 0.7482)  12 Pd 2.92-2.95
La (0.0000, 0.0000, 0.0000)  12 Pd 2.95-3.00

Calculated formation energy = -615 meV/atom
Symmetry = P4/mmm
V = 290 Å³/cell

=====

This record from Alexandria describes a relaxed CuIrS2 crystal. The functional is GGA-PBE.

a = 6.2586 Å, b = 7.8190 Å, c = 3.6138 Å
α = 89.99°, β = 90.00°, γ = 122.32°
Last column: nearest neighbours and their distance in Å.
Positions (direct):
Ir (0.8528, 0.0132, 0.5629)  6 S 2.37-2.41
Ir (0.3350, 0.9936, 0.0629)  6 S 2.37-2.41
S (0.5722, 0.8319, 0.0629)  1 Cu 2.17, 3 Ir 2.39-2.41
S (0.1392, 0.1821, 0.0629)  1 Cu 2.17, 3 Ir 2.37-2.39
S (0.6155, 0.1749, 0.5629)  1 Cu 2.17, 3 Ir 2.39-2.41
S (0.0486, 0.8247, 0.5629)  1 Cu 2.17, 3 Ir 2.37-2.39
Cu (0.4062, 0.5070, 0.0629)  2 S 2.17
Cu (0.7814, 0.4998, 0.5629)  2 S 2.17

Formation energy (no corrections) = -279 meV/atom
Symmetry = P2_1/m
V = 149 Å³/cell

=====

This record from Alexandria describes a relaxed CoSi2Sb crystal. The functional is GGA-PBE.

a = 3.6485 Å, b = 5.5621 Å, c = 3.6480 Å
α = 71.14°, β = 89.17°, γ = 108.86°
Last column: nearest neighbours and their distance in Å.
Positions (direct):
Co (0.0000, 0.5000, 0.5000)  4 Sb 2.56-2.60, 4 Si 2.79
Si (0.5000, 0.0000, 0.5000)  4 Si 2.56-2.60, 2 Co 2.79, 2 Sb 2.79
Si (0.0000, 0.0000, 0.0000)  4 Si 2.56-2.60, 2 Sb 2.79, 2 Co 2.79
Sb (0.5000, 0.5000, 0.0000)  4 Co 2.56-2.60, 4 Si 2.79

Formation energy (no corrections) = 375 meV/atom
Symmetry = Fmmm
V = 66 Å³/cell

=====

This record from Alexandria describes a relaxed MgCd2Au2 crystal. The functional is GGA-PBE.

a = 7.3206 Å, b = 7.3206 Å, c = 3.8667 Å
α = 90.00°, β = 90.00°, γ = 90.00°
Last column: nearest neighbours and their distance in Å.
Positions (direct):
Mg (0.0000, 0.0000, 0.0000)  4 Au 2.81
Mg (0.5000, 0.5000, 0.0000)  4 Au 2.81
Cd (0.1582, 0.6582, 0.5000)  6 Au 2.82-2.94
Cd (0.6582, 0.8418, 0.5000)  6 Au 2.82-2.94
Cd (0.8418, 0.3418, 0.5000)  6 Au 2.82-2.94
Cd (0.3418, 0.1582, 0.5000)  6 Au 2.82-2.94
Au (0.8563, 0.6437, 0.0000)  2 Mg 2.81, 6 Cd 2.82-2.94, 1 Au 2.98
Au (0.6437, 0.1437, 0.0000)  2 Mg 2.81, 6 Cd 2.82-2.94, 1 Au 2.98
Au (0.1437, 0.3563, 0.0000)  2 Mg 2.81, 6 Cd 2.82-2.94, 1 Au 2.98
Au (0.3563, 0.8563, 0.0000)  2 Mg 2.81, 6 Cd 2.82-2.94, 1 Au 2.98

Calculated formation energy = -257 meV/atom
Energy above the lowest structure with this stoichiometry = 0.0647 eV per atom
Symmetry = P4/mbm
V = 207 Å³/cell

=====

This record from Alexandria describes a relaxed B7C3 crystal. The functional is GGA-PBE.

a = 6.3074 Å, b = 6.2691 Å, c = 6.2691 Å
α = 156.59°, β = 136.06°, γ = 50.34°
Last column: nearest neighbours and their distance in Å.
Positions (direct):
C (0.5907, 0.3037, 0.2870)  2 C 1.54, 2 B 1.67-1.72
C (0.3517, 0.0911, 0.2606)  4 B 1.51-1.66
C (0.7720, 0.8006, 0.9713)  2 C 1.54, 1 B 1.64
B (0.1372, 0.8858, 0.2514)  1 C 1.64, 2 B 1.79
B (0.9389, 0.6959, 0.2430)  1 C 1.74, 3 B 1.84-1.90
B (0.5282, 0.5854, 0.9428)  2 C 1.53, 1 B 1.64
B (0.0135, 0.0166, 0.9969)  1 C 1.51
B (0.4173, 0.3997, 0.0175)  1 C 1.67, 3 B 1.79
B (0.7770, 0.5214, 0.2556)  4 B 1.64-1.79
B (0.2236, 0.1997, 0.0239)  2 C 1.66-1.72, 2 B 1.84

Calculated formation energy = 444 meV/atom
Energy above the lowest structure with this stoichiometry = 0.1516 eV per atom
Symmetry = Cm
V = 68 Å³/cell

=====

Look up the V of the first one. 258 Å³/cell

=====

Look up the V of the first one. 258 Å³/cell